The following is a PBE-GGA calculation of a relaxed Li3Ac2Ge crystal, from Alexandria.

The space-group type is No. 69. The mass density is 5.54 g/cm³. The energy of formation is -0.17 eV per atom.

abc: 6.2967 6.2967 9.7546
angles: 112.80 112.80 78.41
Sites, in units of the cell vectors:
1 Ac 0.2448 0.7552 0.0000
2 Ac 0.7500 0.2500 0.5000
3 Ac 0.2500 0.7500 0.5000
4 Ac 0.7552 0.2448 0.0000
5 Ge 0.6661 0.6661 0.3321
6 Ge 0.3339 0.3339 0.6679
7 Li 0.8189 0.8189 0.1732
8 Li 0.6457 0.6457 0.8268
9 Li 0.1811 0.1811 0.8268
10 Li 0.8258 0.8258 0.6515
11 Li 0.3543 0.3543 0.1732
12 Li 0.1742 0.1742 0.3485

The following is a PBE-GGA calculation of a relaxed Li6AcGe4 crystal, from Alexandria.

The space-group type is No. 187. The mass density is 4.61 g/cm³. The energy of formation is -0.37 eV per atom.

abc: 4.4139 7.2576 7.2576
angles: 120.00 90.00 90.00
Sites, in units of the cell vectors:
1 Li 0.0000 0.5342 0.4658
2 Li 0.0000 0.9317 0.4658
3 Li 0.5000 0.5703 0.7851
4 Li 0.0000 0.5342 0.0683
5 Li 0.5000 0.2149 0.7851
6 Li 0.5000 0.2149 0.4297
7 Ge 0.5000 0.7894 0.5789
8 Ge 0.0000 0.3333 0.6667
9 Ge 0.5000 0.7894 0.2106
10 Ge 0.5000 0.4211 0.2106
11 Ac 0.0000 0.0000 0.0000

The following is a PBE-GGA calculation of a relaxed LiAc3Ge3 crystal, from Alexandria.

The space-group type is No. 176. The mass density is 6.17 g/cm³. The energy of formation is -0.44 eV per atom.

abc: 6.3417 9.4189 9.4189
angles: 120.00 90.00 90.00
Sites, in units of the cell vectors:
1 Li 0.7500 0.3333 0.6667
2 Li 0.2500 0.6667 0.3333
3 Ac 0.7500 0.9502 0.2961
4 Ac 0.2500 0.2961 0.3458
5 Ac 0.7500 0.7039 0.6542
6 Ac 0.7500 0.3458 0.0498
7 Ac 0.2500 0.6542 0.9502
8 Ac 0.2500 0.0498 0.7039
9 Ge 0.2500 0.9509 0.3295
10 Ge 0.2500 0.3786 0.0491
11 Ge 0.7500 0.0491 0.6705
12 Ge 0.2500 0.6705 0.6214
13 Ge 0.7500 0.6214 0.9509
14 Ge 0.7500 0.3295 0.3786

The following is a PBE-GGA calculation of a relaxed Li3AcGe crystal, from Alexandria.

The space-group type is No. 42. The mass density is 4.38 g/cm³. The energy of formation is -0.26 eV per atom.

abc: 4.4516 4.4516 6.8982
angles: 108.88 108.88 89.92
Sites, in units of the cell vectors:
1 Ac 0.3746 0.3746 0.7487
2 Li 0.6644 0.1639 0.3285
3 Li 0.1639 0.6644 0.3285
4 Li 0.0048 0.0048 0.0098
5 Ge 0.7893 0.7893 0.5784

The following is a PBE-GGA calculation of a relaxed Li4Ac3Ge4 crystal, from Alexandria.

The space-group type is No. 71. The mass density is 6.40 g/cm³. The energy of formation is -0.61 eV per atom.

abc: 4.6595 7.1833 8.8464
angles: 113.95 105.27 90.00
Sites, in units of the cell vectors:
1 Ac 0.8670 0.8670 0.7341
2 Ac 0.0000 0.5000 0.0000
3 Ac 0.1330 0.1330 0.2659
4 Ge 0.2134 0.7134 0.4268
5 Ge 0.5000 0.8196 0.0000
6 Ge 0.5000 0.1804 0.0000
7 Ge 0.7866 0.2866 0.5732
8 Li 0.6703 0.4834 0.3407
9 Li 0.3297 0.5166 0.6593
10 Li 0.3297 0.1427 0.6593
11 Li 0.6703 0.8573 0.3407

The following is a PBE-GGA calculation of a relaxed Li2Ac5Ge5 crystal, from Alexandria.

The space-group type is No. 12. The mass density is 7.40 g/cm³. The energy of formation is -0.59 eV per atom.

abc: 4.5258 8.4571 9.4708
angles: 86.81 76.18 74.48
Sites, in units of the cell vectors:
1 Ge 0.9247 0.3182 0.8324
2 Ge 0.0753 0.6818 0.1676
3 Ge 0.6904 0.2415 0.3777
4 Ge 0.0000 0.0000 0.0000
5 Ge 0.3096 0.7585 0.6223
6 Li 0.3918 0.4619 0.7545
7 Li 0.6082 0.5381 0.2455
8 Ac 0.3726 0.9402 0.3145
9 Ac 0.0000 0.5000 0.5000
10 Ac 0.6854 0.7132 0.9159
11 Ac 0.3146 0.2868 0.0841
12 Ac 0.6274 0.0598 0.6855

Which value of energy of formation does entry 3 give?
-0.44 eV per atom

What is the mass density in the third record?
6.17 g/cm³